Dy3Cd2Pd2 | PBE-GGA | optimized geometry

a b c (Å): 4.0422 22.3516 3.6767
angles (deg): 90.00 90.00 90.00
Atoms (fractional coordinates):
Dy (0.0000, 0.0000, 0.0000)
Dy (0.0000, 0.1695, 0.0000)
Dy (0.0000, 0.8305, 0.0000)
Dy (0.5000, 0.3305, 0.0000)
Dy (0.5000, 0.5000, 0.0000)
Dy (0.5000, 0.6695, 0.0000)
Cd (0.0000, 0.4199, 0.5000)
Cd (0.0000, 0.5801, 0.5000)
Cd (0.5000, 0.0801, 0.5000)
Cd (0.5000, 0.9199, 0.5000)
Pd (0.0000, 0.2904, 0.5000)
Pd (0.0000, 0.7096, 0.5000)
Pd (0.5000, 0.2096, 0.5000)
Pd (0.5000, 0.7904, 0.5000)

Its energy of formation from the pure elements is -617 meV/atom. For the total DFT energy (no corrections), the calculation gives -60.68 eV/cell.


DyCdPd4 | PBE-GGA | optimized geometry

a b c (Å): 9.5107 3.8769 6.1558
angles (deg): 90.00 110.22 90.00
Atoms (fractional coordinates):
Dy (0.0000, 0.0000, 0.0000)
Dy (0.5000, 0.5000, 0.0000)
Cd (0.0000, 0.0000, 0.5000)
Cd (0.5000, 0.5000, 0.5000)
Pd (0.1657, 0.5000, 0.3372)
Pd (0.1674, 0.5000, 0.8242)
Pd (0.3326, 0.0000, 0.1758)
Pd (0.3343, 0.0000, 0.6628)
Pd (0.6657, 0.0000, 0.3372)
Pd (0.6674, 0.0000, 0.8242)
Pd (0.8326, 0.5000, 0.1758)
Pd (0.8343, 0.5000, 0.6628)

Its energy of formation from the pure elements is -594 meV/atom. For the total DFT energy (no corrections), the calculation gives -59.70 eV/cell.


Dy3Cd2Pd6 | PBE-GGA | optimized geometry

a b c (Å): 8.4054 8.4054 8.4054
angles (deg): 109.47 109.47 109.47
Atoms (fractional coordinates):
Dy (0.0000, 0.3032, 0.3032)
Dy (0.0000, 0.6968, 0.6968)
Dy (0.3032, 0.0000, 0.3032)
Dy (0.3032, 0.3032, 0.0000)
Dy (0.6968, 0.0000, 0.6968)
Dy (0.6968, 0.6968, 0.0000)
Cd (0.0000, 0.0000, 0.5000)
Cd (0.0000, 0.5000, 0.0000)
Cd (0.5000, 0.0000, 0.0000)
Cd (0.5000, 0.5000, 0.5000)
Pd (0.0000, 0.3452, 0.6548)
Pd (0.0000, 0.6548, 0.3452)
Pd (0.3096, 0.6548, 0.6548)
Pd (0.3452, 0.0000, 0.6548)
Pd (0.3452, 0.3452, 0.6904)
Pd (0.3452, 0.6548, 0.0000)
Pd (0.3452, 0.6904, 0.3452)
Pd (0.6548, 0.0000, 0.3452)
Pd (0.6548, 0.3096, 0.6548)
Pd (0.6548, 0.3452, 0.0000)
Pd (0.6548, 0.6548, 0.3096)
Pd (0.6904, 0.3452, 0.3452)

Its energy of formation from the pure elements is -707 meV/atom. For the total DFT energy (no corrections), the calculation gives -109.13 eV/cell.


DyCd3Pd7 | PBE-GGA | optimized geometry

a b c (Å): 6.5731 6.5731 5.3332
angles (deg): 105.97 105.97 92.49
Atoms (fractional coordinates):
Dy (0.0000, 0.0000, 0.0000)
Cd (0.2839, 0.7161, 0.5000)
Cd (0.5000, 0.5000, 0.0000)
Cd (0.7161, 0.2839, 0.5000)
Pd (0.0000, 0.0000, 0.5000)
Pd (0.0817, 0.5620, 0.8186)
Pd (0.2902, 0.2902, 0.4606)
Pd (0.4380, 0.9183, 0.1814)
Pd (0.5620, 0.0817, 0.8186)
Pd (0.7098, 0.7098, 0.5394)
Pd (0.9183, 0.4380, 0.1814)

Its energy of formation from the pure elements is -281 meV/atom. For the total DFT energy (no corrections), the calculation gives -46.79 eV/cell.


DyCdPd6 | PBE-GGA | optimized geometry

a b c (Å): 5.4619 5.4619 5.4619
angles (deg): 84.31 84.31 84.31
Atoms (fractional coordinates):
Dy (0.0000, 0.0000, 0.0000)
Cd (0.5000, 0.5000, 0.5000)
Pd (0.1604, 0.1604, 0.5314)
Pd (0.1604, 0.5314, 0.1604)
Pd (0.4686, 0.8396, 0.8396)
Pd (0.5314, 0.1604, 0.1604)
Pd (0.8396, 0.4686, 0.8396)
Pd (0.8396, 0.8396, 0.4686)

Its energy of formation from the pure elements is -88 meV/atom. For the total DFT energy (no corrections), the calculation gives -37.38 eV/cell.


Dy2CdPd5 | PBE-GGA | optimized geometry

a b c (Å): 6.0916 6.0916 7.8548
angles (deg): 90.00 90.00 90.00
Atoms (fractional coordinates):
Dy (0.0000, 0.5000, 0.0000)
Dy (0.0000, 0.5000, 0.5000)
Dy (0.5000, 0.0000, 0.0000)
Dy (0.5000, 0.0000, 0.5000)
Cd (0.0000, 0.0000, 0.0007)
Cd (0.5000, 0.5000, 0.5007)
Pd (0.0000, 0.0000, 0.4999)
Pd (0.2502, 0.2502, 0.2502)
Pd (0.2498, 0.2498, 0.7502)
Pd (0.2502, 0.7498, 0.2502)
Pd (0.2498, 0.7502, 0.7502)
Pd (0.5000, 0.5000, 0.9999)
Pd (0.7498, 0.2502, 0.2502)
Pd (0.7502, 0.2498, 0.7502)
Pd (0.7498, 0.7498, 0.2502)
Pd (0.7502, 0.7502, 0.7502)

Its energy of formation from the pure elements is -785 meV/atom. For the total DFT energy (no corrections), the calculation gives -84.73 eV/cell.


Dy2Cd2Pd3 | PBE-GGA | optimized geometry

a b c (Å): 9.8084 4.2589 7.3364
angles (deg): 90.00 105.78 90.00
Atoms (fractional coordinates):
Dy (0.1278, 0.0000, 0.3092)
Dy (0.3722, 0.5000, 0.6908)
Dy (0.6278, 0.5000, 0.3092)
Dy (0.8722, 0.0000, 0.6908)
Cd (0.1257, 0.5000, 0.9314)
Cd (0.3743, 0.0000, 0.0686)
Cd (0.6257, 0.0000, 0.9314)
Cd (0.8743, 0.5000, 0.0686)
Pd (0.0000, 0.5000, 0.5000)
Pd (0.1722, 0.0000, 0.7078)
Pd (0.3278, 0.5000, 0.2922)
Pd (0.5000, 0.0000, 0.5000)
Pd (0.6722, 0.5000, 0.7078)
Pd (0.8278, 0.0000, 0.2922)

Its energy of formation from the pure elements is -694 meV/atom. For the total DFT energy (no corrections), the calculation gives -62.95 eV/cell.


Dy2Cd3Pd7 | PBE-GGA | optimized geometry

a b c (Å): 4.7077 4.5402 11.5087
angles (deg): 90.00 101.76 90.00
Atoms (fractional coordinates):
Dy (0.1504, 0.0000, 0.3005)
Dy (0.8496, 0.0000, 0.6995)
Cd (0.0000, 0.0000, 0.0000)
Cd (0.3531, 0.5000, 0.7065)
Cd (0.6469, 0.5000, 0.2935)
Pd (0.0725, 0.5000, 0.1448)
Pd (0.2819, 0.0000, 0.5637)
Pd (0.4276, 0.0000, 0.8550)
Pd (0.5000, 0.5000, 0.0000)
Pd (0.5724, 0.0000, 0.1450)
Pd (0.7181, 0.0000, 0.4363)
Pd (0.9275, 0.5000, 0.8552)

Its energy of formation from the pure elements is -451 meV/atom. For the total DFT energy (no corrections), the calculation gives -53.71 eV/cell.


DyCdPd4 | PBE-GGA | optimized geometry

a b c (Å): 3.1066 4.6294 7.9034
angles (deg): 90.00 90.00 90.00
Atoms (fractional coordinates):
Dy (0.0000, 0.0000, 0.0000)
Cd (0.5000, 0.5000, 0.5000)
Pd (0.0000, 0.5000, 0.2037)
Pd (0.0000, 0.5000, 0.7963)
Pd (0.5000, 0.0000, 0.2987)
Pd (0.5000, 0.0000, 0.7013)

Its energy of formation from the pure elements is -399 meV/atom. For the total DFT energy (no corrections), the calculation gives -28.68 eV/cell.


DyCd2Pd2 | PBE-GGA | optimized geometry

a b c (Å): 5.4648 4.6873 8.7606
angles (deg): 90.00 107.05 90.00
Atoms (fractional coordinates):
Dy (0.0550, 0.2500, 0.2582)
Dy (0.9450, 0.7500, 0.7418)
Cd (0.3459, 0.2500, 0.9692)
Cd (0.4095, 0.2500, 0.6297)
Cd (0.5905, 0.7500, 0.3703)
Cd (0.6541, 0.7500, 0.0308)
Pd (0.1365, 0.7500, 0.4630)
Pd (0.1743, 0.7500, 0.0916)
Pd (0.8257, 0.2500, 0.9084)
Pd (0.8635, 0.2500, 0.5370)

Its energy of formation from the pure elements is -548 meV/atom. For the total DFT energy (no corrections), the calculation gives -39.11 eV/cell.


DyPuCdPd | PBE-GGA | optimized geometry

a b c (Å): 7.2876 7.2876 7.2876
angles (deg): 90.00 90.00 90.00
Atoms (fractional coordinates):
Dy (0.0000, 0.0000, 0.0000)
Dy (0.0000, 0.5000, 0.5000)
Dy (0.5000, 0.0000, 0.5000)
Dy (0.5000, 0.5000, 0.0000)
Pu (0.0000, 0.0000, 0.5000)
Pu (0.0000, 0.5000, 0.0000)
Pu (0.5000, 0.0000, 0.0000)
Pu (0.5000, 0.5000, 0.5000)
Cd (0.2500, 0.2500, 0.7500)
Cd (0.2500, 0.7500, 0.2500)
Cd (0.7500, 0.2500, 0.2500)
Cd (0.7500, 0.7500, 0.7500)
Pd (0.2500, 0.2500, 0.2500)
Pd (0.2500, 0.7500, 0.7500)
Pd (0.7500, 0.2500, 0.7500)
Pd (0.7500, 0.7500, 0.2500)

Its energy of formation from the pure elements is -296 meV/atom. For the total DFT energy (no corrections), the calculation gives -104.91 eV/cell.


Dy4CdPd2Rh | PBE-GGA | optimized geometry

a b c (Å): 8.6454 8.6454 8.6454
angles (deg): 33.80 33.80 33.80
Atoms (fractional coordinates):
Dy (0.1172, 0.1172, 0.1172)
Dy (0.3685, 0.3685, 0.3685)
Dy (0.6315, 0.6315, 0.6315)
Dy (0.8828, 0.8828, 0.8828)
Cd (0.5000, 0.5000, 0.5000)
Pd (0.2448, 0.2448, 0.2448)
Pd (0.7552, 0.7552, 0.7552)
Rh (0.0000, 0.0000, 0.0000)

Its energy of formation from the pure elements is -730 meV/atom. For the total DFT energy (no corrections), the calculation gives -42.90 eV/cell.